#A
The following is a PBE-GGA calculation of an optimized crystal structure of Ho4Tm2Tl, from Alexandria.

Unit cell a=5.574 b=6.725 c=11.569 alpha=90.00 beta=102.75 gamma=90.00
Element x y z (fractional)
Ho1 0.113 0.250 0.144
Ho2 0.220 0.750 0.413
Ho3 0.336 0.510 0.706
Ho4 0.336 0.990 0.706
Ho5 0.664 0.010 0.294
Ho6 0.664 0.490 0.294
Ho7 0.780 0.250 0.587
Ho8 0.887 0.750 0.856
Tm1 0.216 0.250 0.438
Tm2 0.455 0.750 0.021
Tm3 0.545 0.250 0.979
Tm4 0.784 0.750 0.562
Tl1 0.014 0.750 0.141
Tl2 0.986 0.250 0.859

Computed properties:
total magnetic moment	0.0	μB/cell

=====

#B
The following is a PBE-GGA calculation of an optimized crystal structure of Ho4Tm2Tl, from Alexandria.

Unit cell a=3.564 b=20.360 c=11.682 alpha=90.00 beta=97.49 gamma=90.00
Element x y z (fractional)
Ho1 0.010 0.215 0.009
Ho2 0.010 0.285 0.509
Ho3 0.349 0.503 0.133
Ho4 0.349 0.997 0.633
Ho5 0.455 0.573 0.397
Ho6 0.455 0.927 0.897
Ho7 0.471 0.205 0.742
Ho8 0.471 0.295 0.242
Ho9 0.529 0.705 0.758
Ho10 0.529 0.795 0.258
Ho11 0.545 0.073 0.103
Ho12 0.545 0.427 0.603
Ho13 0.651 0.003 0.367
Ho14 0.651 0.497 0.867
Ho15 0.990 0.715 0.491
Ho16 0.990 0.785 0.991
Tm1 0.044 0.573 0.647
Tm2 0.044 0.927 0.147
Tm3 0.119 0.153 0.319
Tm4 0.119 0.347 0.819
Tm5 0.881 0.653 0.181
Tm6 0.881 0.847 0.681
Tm7 0.956 0.073 0.853
Tm8 0.956 0.427 0.353
Tl1 0.163 0.623 0.943
Tl2 0.163 0.877 0.443
Tl3 0.837 0.123 0.557
Tl4 0.837 0.377 0.057

Computed properties:
total magnetic moment	0.0	μB/cell

=====

Most favorable first, least favorable last: #B, #A

=====

#A
The following is a PBE-GGA calculation of an optimized crystal structure of HoTmTlZn, from Alexandria.

Unit cell a=3.636 b=3.636 c=7.359 alpha=90.00 beta=90.00 gamma=90.00
Element x y z (fractional)
Ho1 0.000 0.000 0.000
Tm1 0.000 0.000 0.542
Tl1 0.500 0.500 0.274
Zn1 0.500 0.500 0.767

Computed properties:
total magnetic moment	0.0	μB/cell

=====

#B
The following is a PBE-GGA calculation of an optimized crystal structure of HoTmTlZn, from Alexandria.

Unit cell a=5.180 b=5.180 c=5.180 alpha=60.00 beta=60.00 gamma=60.00
Element x y z (fractional)
Ho1 0.000 0.000 0.000
Tm1 0.500 0.500 0.500
Tl1 0.750 0.750 0.750
Zn1 0.250 0.250 0.250

Computed properties:
total magnetic moment	0.0	μB/cell

=====

Most favorable first, least favorable last: #A, #B

=====

#A
The following is a PBE-GGA calculation of an optimized crystal structure of Y3HoTl, from Alexandria.

Unit cell a=6.531 b=6.605 c=8.620 alpha=69.39 beta=75.11 gamma=61.06
Element x y z (fractional)
Y1 0.058 0.251 0.432
Y2 0.218 0.210 0.027
Y3 0.348 0.770 0.793
Y4 0.652 0.230 0.207
Y5 0.782 0.790 0.973
Y6 0.942 0.749 0.568
Ho1 0.486 0.262 0.636
Ho2 0.514 0.738 0.364
Tl1 0.153 0.703 0.194
Tl2 0.847 0.297 0.806

Computed properties:
total magnetic moment	0.0	μB/cell

=====

#B
The following is a PBE-GGA calculation of an optimized crystal structure of Y3HoTl, from Alexandria.

Unit cell a=9.848 b=9.848 c=5.589 alpha=90.00 beta=90.00 gamma=146.79
Element x y z (fractional)
Y1 0.053 0.947 0.750
Y2 0.250 0.750 0.750
Y3 0.446 0.554 0.750
Y4 0.554 0.446 0.250
Y5 0.750 0.250 0.250
Y6 0.947 0.053 0.250
Ho1 0.141 0.859 0.250
Ho2 0.859 0.141 0.750
Tl1 0.347 0.653 0.250
Tl2 0.653 0.347 0.750

Computed properties:
total magnetic moment	0.4	μB/cell

=====

Most favorable first, least favorable last: #A, #B

=====

#A
The following is a PBE-GGA calculation of an optimized crystal structure of Y2HoTl3, from Alexandria.

Unit cell a=3.757 b=3.757 c=11.597 alpha=90.00 beta=90.00 gamma=90.00
Element x y z (fractional)
Y1 0.000 0.000 0.167
Y2 0.000 0.000 0.833
Ho1 0.000 0.000 0.500
Tl1 0.500 0.500 0.000
Tl2 0.500 0.500 0.335
Tl3 0.500 0.500 0.665

Computed properties:
total magnetic moment	0.0	μB/cell

=====

#B
The following is a PBE-GGA calculation of an optimized crystal structure of Y2HoTl3, from Alexandria.

Unit cell a=14.467 b=14.467 c=6.697 alpha=90.00 beta=90.00 gamma=165.50
Element x y z (fractional)
Y1 0.004 0.996 0.750
Y2 0.151 0.849 0.250
Y3 0.849 0.151 0.750
Y4 0.996 0.004 0.250
Ho1 0.331 0.669 0.250
Ho2 0.669 0.331 0.750
Tl1 0.257 0.743 0.750
Tl2 0.423 0.577 0.506
Tl3 0.423 0.577 0.994
Tl4 0.577 0.423 0.006
Tl5 0.577 0.423 0.494
Tl6 0.743 0.257 0.250

Computed properties:
total magnetic moment	0.5	μB/cell

=====

Most favorable first, least favorable last: #A, #B

=====

#A
The following is a PBE-GGA calculation of an optimized crystal structure of Y2Ho2Tl3, from Alexandria.

Unit cell a=16.019 b=16.019 c=3.559 alpha=90.00 beta=90.00 gamma=167.38
Element x y z (fractional)
Y1 0.068 0.932 0.000
Y2 0.932 0.068 0.000
Ho1 0.202 0.798 0.000
Ho2 0.798 0.202 0.000
Tl1 0.364 0.636 0.500
Tl2 0.500 0.500 0.500
Tl3 0.636 0.364 0.500

Computed properties:
total magnetic moment	0.0	μB/cell

=====

#B
The following is a PBE-GGA calculation of an optimized crystal structure of Y2Ho2Tl3, from Alexandria.

Unit cell a=6.781 b=6.781 c=8.276 alpha=100.16 beta=100.16 gamma=32.28
Element x y z (fractional)
Y1 0.202 0.202 0.151
Y2 0.798 0.798 0.849
Ho1 0.068 0.068 0.719
Ho2 0.932 0.932 0.281
Tl1 0.354 0.354 0.545
Tl2 0.500 0.500 0.000
Tl3 0.646 0.646 0.455

Computed properties:
total magnetic moment	0.0	μB/cell

=====

Most favorable first, least favorable last: #B, #A

=====

#A
The following is a PBE-GGA calculation of an optimized crystal structure of YHo6Tl2, from Alexandria.

Unit cell a=8.802 b=8.802 c=8.802 alpha=138.42 beta=138.42 gamma=60.26
Element x y z (fractional)
Y1 0.000 0.000 0.000
Ho1 0.237 0.590 0.000
Ho2 0.250 0.750 0.500
Ho3 0.410 0.410 0.647
Ho4 0.590 0.237 0.000
Ho5 0.750 0.250 0.500
Ho6 0.763 0.763 0.353
Tl1 0.212 0.212 0.000
Tl2 0.788 0.788 0.000

Computed properties:
total magnetic moment	0.0	μB/cell

=====

#B
The following is a PBE-GGA calculation of an optimized crystal structure of YHo6Tl2, from Alexandria.

Unit cell a=6.633 b=6.633 c=11.902 alpha=107.45 beta=107.45 gamma=32.64
Element x y z (fractional)
Y1 0.000 0.000 0.000
Ho1 0.013 0.013 0.345
Ho2 0.310 0.310 0.416
Ho3 0.315 0.315 0.124
Ho4 0.685 0.685 0.876
Ho5 0.690 0.690 0.584
Ho6 0.987 0.987 0.655
Tl1 0.359 0.359 0.792
Tl2 0.641 0.641 0.208

Computed properties:
total magnetic moment	0.0	μB/cell

=====

Most favorable first, least favorable last: #B, #A